1.
SrTl6Sn2, optimized geometry, DFT PBE; SG = P-3m1, No. 164; M_tot = 0.00 μB per formula unit; DOS at the Fermi energy = 0.380 states/eV/atom; calculated formation energy = -0.125 eV/atom; energy above the most stable polymorph in this dataset = 0.0 meV/atom; uncorrected energy = -2.779 eV per atom
1.0
-2.502 3.250 -3.699
-2.188 -0.655 5.028
5.485 8.143 3.446
Tl Sn Sr
6 2 1
direct
0.000 0.000 0.162 Tl
0.000 0.000 0.838 Tl
0.333 0.667 0.361 Tl
0.667 0.333 0.989 Tl
0.667 0.333 0.639 Tl
0.333 0.667 0.011 Tl
0.333 0.667 0.696 Sn
0.667 0.333 0.304 Sn
0.000 0.000 0.500 Sr

***

2.
In3Br5, optimized geometry, DFT PBE; formation energy without anion corrections = -402.0 kJ/mol of formula units; SG = Cmmm, No. 65; M_tot = 0.00 μB per formula unit; DOS at the Fermi energy = 0.628 states/eV/atom; energy above the most stable polymorph in this dataset = 27.4 meV/atom; uncorrected energy = -2.593 eV per atom
1.0
4.512 -6.730 0.000
4.512 6.730 0.000
0.000 0.000 4.310
In Br
3 5
direct
0.827 0.173 0.500 In
0.500 0.500 0.000 In
0.173 0.827 0.500 In
0.000 0.500 0.000 Br
0.000 0.000 0.000 Br
0.692 0.692 0.500 Br
0.500 0.000 0.000 Br
0.308 0.308 0.500 Br

***

3.
Hg2PtRh, optimized geometry, DFT PBE; SG = Cm, No. 8; M_tot = 0.36 μB per formula unit; DOS at the Fermi energy = 1.077 states/eV/atom; calculated formation energy = 0.137 eV/atom; uncorrected energy = -3.362 eV per atom
1.0
-4.466 -1.484 2.747
-2.271 -3.240 3.746
-0.047 2.378 4.283
Hg Pt Rh
2 1 1
direct
0.983 0.983 0.074 Hg
0.764 0.764 0.681 Hg
0.519 0.519 0.554 Pt
0.234 0.234 0.192 Rh

***

4.
SbTe2SeN, optimized geometry, DFT PBE; formation energy without anion corrections = 374.7 kJ/mol of formula units; SG = P4/mmm, No. 123; M_tot = 0.00 μB per formula unit; DOS at the Fermi energy = 0.735 states/eV/atom; energy above the most stable polymorph in this dataset = 0.0 meV/atom; uncorrected energy = -3.666 eV per atom
1.0
4.718 0.000 0.000
0.000 4.718 0.000
0.000 0.000 5.014
N Se Sb Te
1 1 1 2
direct
0.000 0.000 0.000 N
0.500 0.500 0.500 Se
0.000 0.000 0.500 Sb
0.500 0.000 0.000 Te
0.000 0.500 0.000 Te

***

5.
MnPtBr, optimized geometry, DFT PBE; formation energy without anion corrections = 29.4 kJ/mol of formula units; SG = Fmm2, No. 42; M_tot = 4.38 μB per formula unit; DOS at the Fermi energy = 0.673 states/eV/atom; energy above the most stable polymorph in this dataset = 130.8 meV/atom; uncorrected energy = -5.526 eV per atom
1.0
-0.646 -1.168 6.508
2.390 -1.593 5.739
-0.209 2.788 1.474
Br Pt Mn
1 1 1
direct
0.024 0.024 0.976 Br
0.305 0.305 0.695 Pt
0.671 0.671 0.329 Mn

***

6.
Ba4PRhBr2, optimized geometry, DFT PBE; formation energy without anion corrections = -974.6 kJ/mol of formula units; SG = P2/m, No. 10; M_tot = 0.00 μB per formula unit; uncorrected energy = -4.237 eV per atom
1.0
4.639 0.000 0.000
0.000 7.999 0.127
0.000 -2.815 7.980
Ba Br P Rh
4 2 1 1
direct
0.500 0.236 0.209 Ba
0.000 0.256 0.792 Ba
0.000 0.744 0.208 Ba
0.500 0.764 0.791 Ba
0.500 0.000 0.500 Br
0.000 0.500 0.500 Br
0.500 0.500 0.000 P
0.000 0.000 0.000 Rh